Record 1
Below is a relaxed YEr3Sc7 crystal, with properties calculated at the PBE level.

abc: 5.422 7.953 7.953
angles: 81.67 109.98 109.98
Last column: magnetic moment on the atom in μB.
Fractional coordinates of all 11 atoms:
Sc 0.716 0.025 0.407  0.01
Sc 0.284 0.593 0.975  0.01
Sc 0.716 0.407 0.025  0.01
Sc 0.284 0.975 0.593  0.01
Sc 0.793 0.793 0.793  0.01
Sc 0.207 0.207 0.207  0.01
Sc 0.000 0.500 0.500  0.17
Y 0.500 0.500 0.500  0.11
Er 0.000 0.210 0.790  0.01
Er 0.500 0.000 0.000  0.00
Er 0.000 0.790 0.210  0.01

## Properties
**Space-group type**: C2/m (12)
**D(E_F)**: 1.54 states/eV/atom
**Electronic total energy**: -5.57 eV per atom

---

Record 2
Below is a relaxed YEr15Sc4 crystal, with properties calculated at the PBE level.

abc: 4.897 4.897 24.448
angles: 90.00 90.00 90.00
Fractional coordinates of all 20 atoms:
Er 0.000 0.500 0.896
Er 0.500 0.000 0.302
Er 0.500 0.500 0.000
Er 0.000 0.500 0.500
Er 0.000 0.500 0.698
Er 0.500 0.000 0.896
Er 0.500 0.500 0.203
Er 0.000 0.500 0.104
Er 0.500 0.500 0.797
Er 0.500 0.000 0.500
Er 0.000 0.500 0.302
Er 0.500 0.500 0.599
Er 0.500 0.500 0.401
Er 0.500 0.000 0.698
Er 0.500 0.000 0.104
Sc 0.000 0.000 0.202
Sc 0.000 0.000 0.798
Sc 0.000 0.000 0.401
Sc 0.000 0.000 0.599
Y 0.000 0.000 0.000

## Properties
**Space-group type**: P4/mmm (123)
**D(E_F)**: 1.54 states/eV/atom
**Electronic total energy**: -4.97 eV per atom

---

Record 3
Below is a relaxed Y10ErSc2 crystal, with properties calculated at the PBE level.

abc: 6.495 8.298 9.174
angles: 82.04 69.27 66.96
Fractional coordinates of all 13 atoms:
Y 0.659 0.360 0.321
Y 0.703 0.790 0.804
Y 0.507 0.790 0.196
Y 0.500 0.000 0.500
Y 0.341 0.640 0.679
Y 0.297 0.210 0.196
Y 0.980 0.360 0.679
Y 0.493 0.210 0.804
Y 0.000 0.000 0.500
Y 0.020 0.640 0.321
Sc 0.000 0.500 0.000
Sc 0.500 0.500 0.000
Er 0.000 0.000 0.000

## Properties
**Space-group type**: Fmmm (69)
**D(E_F)**: 2.22 states/eV/atom
**Electronic total energy**: -6.03 eV per atom

---

Record 4
Below is a relaxed Y2Er5Sc4 crystal, with properties calculated at the PBE level.

abc: 3.491 8.652 10.736
angles: 84.77 90.00 90.00
Fractional coordinates of all 11 atoms:
Er 0.000 0.852 0.133
Er 0.000 0.546 0.669
Er 0.000 0.148 0.867
Er 0.000 0.454 0.331
Er 0.000 0.500 0.000
Sc 0.500 0.798 0.873
Sc 0.500 0.251 0.573
Sc 0.500 0.202 0.127
Sc 0.500 0.749 0.427
Y 0.000 0.075 0.362
Y 0.000 0.925 0.638

## Properties
**Space-group type**: P2/m (10)
**D(E_F)**: 1.48 states/eV/atom
**Electronic total energy**: -5.43 eV per atom

---

Record 5
Below is a relaxed YEr5Sc crystal, with properties calculated at the PBE level.

abc: 7.452 5.886 12.785
angles: 90.03 90.00 129.27
Fractional coordinates of all 14 atoms:
Sc 0.000 0.000 0.000
Sc 0.000 0.000 0.500
Er 0.421 0.597 0.886
Er 0.100 0.000 0.250
Er 0.176 0.596 0.114
Er 0.824 0.403 0.614
Er 0.579 0.404 0.386
Er 0.176 0.597 0.386
Er 0.421 0.596 0.614
Er 0.824 0.404 0.886
Er 0.900 0.000 0.750
Er 0.579 0.403 0.114
Y 0.693 0.000 0.250
Y 0.307 0.000 0.750

## Properties
**Space-group type**: Cmcm (63)
**D(E_F)**: 1.63 states/eV/atom
**Electronic total energy**: -4.92 eV per atom

---

Record 6
Below is a relaxed Y2Er2Sc5 crystal, with properties calculated at the PBE level.

abc: 8.288 10.506 8.852
angles: 126.40 117.91 90.00
Fractional coordinates of all 18 atoms:
Y 0.479 0.084 0.211
Y 0.521 0.874 0.789
Y 0.769 0.374 0.789
Y 0.231 0.584 0.211
Er 0.358 0.422 0.500
Er 0.000 0.043 0.000
Er 0.500 0.543 0.000
Er 0.642 0.922 0.500
Sc 0.093 0.184 0.802
Sc 0.566 0.408 0.252
Sc 0.814 0.656 0.748
Sc 0.985 0.284 0.500
Sc 0.907 0.381 0.198
Sc 0.434 0.156 0.748
Sc 0.186 0.908 0.252
Sc 0.791 0.881 0.198
Sc 0.015 0.784 0.500
Sc 0.209 0.684 0.802

## Properties
**Space-group type**: Ima2 (46)
**D(E_F)**: 1.51 states/eV/atom
**Electronic total energy**: -5.77 eV per atom